Computed, not measured: crystalline TcSeBr3 at its relaxed geometry at the PBE level of DFT.

Geometry as POSCAR:
```
TcSeBr3
1.0
-2.987 -3.171 3.185
4.043 -0.226 3.566
-1.962 4.360 2.501
Tc Br Se
1 3 1
direct
0.500 0.500 0.500 Tc
0.000 0.500 0.000 Br
0.000 0.000 0.500 Br
0.500 0.000 0.000 Br
0.000 0.000 0.000 Se
```

Calculated values
**Space group**: Pm-3m, No. 221
**Distance to the lowest polymorph of the same formula**: 5.91 eV/f.u.

=====

Computed, not measured: crystalline TcSe2Br at its relaxed geometry at the PBE level of DFT.

Geometry as POSCAR:
```
TcSe2Br
1.0
-4.060 2.275 -2.392
3.491 -2.821 -2.691
-2.058 -3.083 0.561
Se Tc Br
2 1 1
direct
0.500 0.500 0.000 Se
0.000 0.000 0.000 Se
0.500 0.000 0.500 Tc
0.000 0.500 0.500 Br
```

Calculated values
**Space group**: Cmmm, No. 65
**Distance to the lowest polymorph of the same formula**: 4.61 eV/f.u.

=====

Computed, not measured: crystalline TcSeBr2 at its relaxed geometry at the PBE level of DFT.

Geometry as POSCAR:
```
TcSeBr2
1.0
3.098 0.000 0.000
0.000 3.098 0.000
0.000 0.000 9.277
Se Br Tc
1 2 1
direct
0.500 0.500 0.250 Se
0.000 0.000 0.579 Br
0.000 0.000 0.921 Br
0.500 0.500 0.750 Tc
```

Calculated values
**Space group**: P4/mmm, No. 123
**Distance to the lowest polymorph of the same formula**: 2.71 eV/f.u.

=====

Computed, not measured: crystalline TcSe2Br at its relaxed geometry at the PBE level of DFT.

Geometry as POSCAR:
```
TcSe2Br
1.0
0.750 -3.538 -3.079
-1.730 -4.332 0.893
-3.601 -1.699 -2.589
Se Tc Br
2 1 1
direct
0.750 0.750 0.750 Se
0.250 0.250 0.250 Se
0.500 0.500 0.500 Tc
0.000 0.000 0.000 Br
```

Calculated values
**Space group**: Fm-3m, No. 225
**Distance to the lowest polymorph of the same formula**: 4.37 eV/f.u.

=====

Computed, not measured: crystalline TcSeBr at its relaxed geometry at the PBE level of DFT.

Geometry as POSCAR:
```
TcSeBr
1.0
4.760 0.000 0.000
2.380 4.122 0.000
2.380 1.374 3.886
Br Tc Se
1 1 1
direct
0.500 0.500 0.500 Br
0.000 0.000 0.000 Tc
0.750 0.750 0.750 Se
```

Calculated values
**Space group**: F-43m, No. 216
**Distance to the lowest polymorph of the same formula**: 4.13 eV/f.u.

=====

Computed, not measured: crystalline TcSe2Br6 at its relaxed geometry at the PBE level of DFT.

Geometry as POSCAR:
```
TcSe2Br6
1.0
0.414 -3.723 -0.250
8.231 -4.833 5.762
-3.607 -2.978 7.794
Br Se Tc
6 2 1
direct
0.086 0.049 0.713 Br
0.884 0.309 0.323 Br
0.116 0.691 0.677 Br
0.914 0.951 0.287 Br
0.243 0.184 0.994 Br
0.757 0.816 0.006 Br
0.649 0.378 0.559 Se
0.351 0.622 0.441 Se
0.000 0.000 0.000 Tc
```

Calculated values
**Space group**: P-1, No. 2
**Total DFT energy (no corrections)**: -28.9 eV/cell

=====

Computed, not measured: crystalline Tc2SeBr at its relaxed geometry at the PBE level of DFT.

Geometry as POSCAR:
```
Tc2SeBr
1.0
-0.112 -0.847 2.851
2.677 0.413 -1.232
-0.177 9.842 2.916
Br Tc Se
1 2 1
direct
0.000 0.000 0.438 Br
0.500 0.500 0.217 Tc
0.000 0.000 0.026 Tc
0.500 0.500 0.820 Se
```

Calculated values
**Space group**: Cmm2, No. 35
**Distance to the lowest polymorph of the same formula**: 1.62 eV/f.u.

=====

Computed, not measured: crystalline TcSe2Br at its relaxed geometry at the PBE level of DFT.

Geometry as POSCAR:
```
TcSe2Br
1.0
-4.167 2.234 0.043
-3.945 -2.331 -1.168
-3.205 -1.036 3.319
Tc Br Se
1 1 2
direct
0.750 0.750 0.750 Tc
0.500 0.500 0.500 Br
0.250 0.250 0.250 Se
0.000 0.000 0.000 Se
```

Calculated values
**Space group**: F-43m, No. 216
**Distance to the lowest polymorph of the same formula**: 4.67 eV/f.u.

=====

Computed, not measured: crystalline TcSe2Br at its relaxed geometry at the PBE level of DFT.

Geometry as POSCAR:
```
TcSe2Br
1.0
-4.095 1.814 2.857
2.700 -0.952 4.475
1.623 6.007 3.452
Br Tc Se
2 2 4
direct
0.250 0.750 0.500 Br
0.500 0.500 0.000 Br
0.750 0.250 0.500 Tc
0.000 0.000 0.000 Tc
0.954 0.454 0.092 Se
0.546 0.046 0.908 Se
0.796 0.796 0.408 Se
0.204 0.204 0.592 Se
```

Calculated values
**Space group**: I4_1/amd, No. 141
**Distance to the lowest polymorph of the same formula**: 2.35 eV/f.u.

=====

Computed, not measured: crystalline Tc2SeBr at its relaxed geometry at the PBE level of DFT.

Geometry as POSCAR:
```
Tc2SeBr
1.0
5.259 0.001 0.006
1.292 5.098 -0.006
-2.169 -3.971 2.680
Br Tc Se
1 2 1
direct
0.750 0.250 0.500 Br
0.019 0.019 0.000 Tc
0.481 0.481 0.000 Tc
0.250 0.750 0.500 Se
```

Calculated values
**Space group**: Immm, No. 71
**Distance to the lowest polymorph of the same formula**: 2.97 eV/f.u.

=====

Computed, not measured: crystalline TcSeBr3 at its relaxed geometry at the PBE level of DFT.

Geometry as POSCAR:
```
TcSeBr3
1.0
-0.090 5.004 -0.429
-2.487 0.328 4.352
4.363 0.290 2.471
Se Tc Br
1 1 3
direct
0.500 0.500 0.500 Se
0.000 0.000 0.000 Tc
0.500 0.000 0.000 Br
0.000 0.500 0.000 Br
0.000 0.000 0.500 Br
```

Calculated values
**Space group**: Pm-3m, No. 221
**Distance to the lowest polymorph of the same formula**: 3.83 eV/f.u.

=====

Computed, not measured: crystalline TcSeBr2 at its relaxed geometry at the PBE level of DFT.

Geometry as POSCAR:
```
TcSeBr2
1.0
9.374 -0.039 -0.023
8.721 3.438 -0.023
8.721 1.638 3.022
Tc Se Br
1 1 2
direct
0.757 0.757 0.757 Tc
0.476 0.476 0.476 Se
0.027 0.027 0.027 Br
0.240 0.240 0.240 Br
```

Calculated values
**Space group**: R3m, No. 160
**Distance to the lowest polymorph of the same formula**: 0.56 eV/f.u.

=====

Computed, not measured: crystalline TcSe2Br at its relaxed geometry at the PBE level of DFT.

Geometry as POSCAR:
```
TcSe2Br
1.0
-2.962 0.037 2.591
0.754 -4.073 0.920
4.224 3.499 4.779
Br Se Tc
1 2 1
direct
0.500 0.625 0.656 Br
0.500 0.378 0.191 Se
0.000 0.955 0.239 Se
0.000 0.542 0.414 Tc
```

Calculated values
**Space group**: Pm, No. 6
**Distance to the lowest polymorph of the same formula**: 1.36 eV/f.u.

=====

Computed, not measured: crystalline Tc2SeBr at its relaxed geometry at the PBE level of DFT.

Geometry as POSCAR:
```
Tc2SeBr
1.0
3.596 0.000 0.000
0.000 3.279 -0.024
0.000 0.047 6.591
Tc Se Br
2 1 1
direct
0.000 0.250 0.578 Tc
0.000 0.250 0.922 Tc
0.500 0.750 0.750 Se
0.500 0.250 0.250 Br
```

Calculated values
**Space group**: Pmmm, No. 47
**Distance to the lowest polymorph of the same formula**: 1.61 eV/f.u.